Record 1
Below is a relaxed structure of PmMg9Cd2, with properties calculated at the PBE-GGA level.

As for the total energy: -1.82 eV/atom. The space group is No. 141. As for the calculated formation energy: -0.078 eV/atom.

a = 7.7333 Å, b = 9.3919 Å, c = 9.3919 Å
α = 80.24°, β = 65.69°, γ = 65.69°
Sites, in units of the cell vectors:
Pm 0.5000 0.0000 0.0000
Pm 0.2500 0.5000 0.5000
Mg 0.7500 0.5000 0.5000
Mg 0.0000 0.0000 0.0000
Mg 0.0034 0.9201 0.6769
Mg 0.6004 0.0799 0.3231
Mg 0.6735 0.1769 0.5799
Mg 0.4303 0.8231 0.4201
Mg 0.7466 0.8231 0.5799
Mg 0.1496 0.1769 0.4201
Mg 0.0765 0.9201 0.3231
Mg 0.3197 0.0799 0.6769
Mg 0.7466 0.5799 0.8231
Mg 0.1496 0.4201 0.1769
Mg 0.0765 0.3231 0.9201
Mg 0.3197 0.6769 0.0799
Mg 0.0034 0.6769 0.9201
Mg 0.6004 0.3231 0.0799
Mg 0.6735 0.5799 0.1769
Mg 0.4303 0.4201 0.8231
Cd 0.8750 0.2500 0.7500
Cd 0.8750 0.7500 0.2500
Cd 0.8750 0.2500 0.2500
Cd 0.3750 0.7500 0.7500

=====

Record 2
Below is a relaxed structure of TiGaPbW2, with properties calculated at the PBE-GGA level.

As for the total energy: -5.56 eV/atom. The space group is No. 123. For the energy above the most stable polymorph in this dataset, the calculation gives 1032 meV/atom. As for the calculated formation energy: 2.544 eV/atom.

a = 5.1241 Å, b = 4.9576 Å, c = 5.1241 Å
α = 90.00°, β = 90.00°, γ = 90.00°
Site moments in Bohr magnetons follow the coordinates.
Sites, in units of the cell vectors:
Pb 0.0000 0.0000 0.0000  0.00
Ga 0.0000 0.5000 0.0000  0.03
W 0.0000 0.0000 0.5000  1.40
W 0.5000 0.0000 0.0000  1.31
Ti 0.5000 0.5000 0.5000  -1.24

=====

Record 3
Below is a relaxed structure of ThTl15Pb4, with properties calculated at the PBE-GGA level.

As for the total energy: -2.89 eV/atom. The space group is No. 123. As for the calculated formation energy: 0.000 eV/atom.

a = 5.1160 Å, b = 5.1160 Å, c = 23.1333 Å
α = 90.00°, β = 90.00°, γ = 90.00°
Sites, in units of the cell vectors:
Th 0.0000 0.0000 0.0000
Tl 0.5000 0.5000 0.0000
Tl 0.5000 0.5000 0.1993
Tl 0.5000 0.5000 0.3980
Tl 0.5000 0.5000 0.6020
Tl 0.5000 0.5000 0.8007
Tl 0.5000 0.0000 0.0965
Tl 0.5000 0.0000 0.2979
Tl 0.5000 0.0000 0.5000
Tl 0.5000 0.0000 0.7021
Tl 0.5000 0.0000 0.9035
Tl 0.0000 0.5000 0.0965
Tl 0.0000 0.5000 0.2979
Tl 0.0000 0.5000 0.5000
Tl 0.0000 0.5000 0.7021
Tl 0.0000 0.5000 0.9035
Pb 0.0000 0.0000 0.1855
Pb 0.0000 0.0000 0.3975
Pb 0.0000 0.0000 0.6025
Pb 0.0000 0.0000 0.8145

=====

Record 4
Below is a relaxed structure of VIn, with properties calculated at the PBE-GGA level.

As for the total energy: -5.62 eV/atom. The space group is No. 19. As for the calculated formation energy: 0.304 eV/atom.

a = 5.9192 Å, b = 5.0708 Å, c = 9.7321 Å
α = 90.00°, β = 90.00°, γ = 90.00°
Site moments in Bohr magnetons follow the coordinates.
Sites, in units of the cell vectors:
V 0.2219 0.0980 0.1359  1.40
V 0.7219 0.4020 0.8641  1.40
V 0.7781 0.5980 0.3641  1.40
V 0.2781 0.9020 0.6359  1.40
V 0.5080 0.4100 0.6381  -1.36
V 0.0080 0.0900 0.3619  -1.36
V 0.4920 0.9100 0.8619  -1.36
V 0.9920 0.5900 0.1381  -1.36
In 0.7443 0.1093 0.1241  -0.02
In 0.2443 0.3907 0.8759  -0.02
In 0.2557 0.6093 0.3759  -0.02
In 0.7557 0.8907 0.6241  -0.02
In 0.9945 0.8866 0.8874  0.00
In 0.4945 0.6134 0.1126  0.00
In 0.0055 0.3866 0.6126  0.00
In 0.5055 0.1134 0.3874  0.00

=====

Record 5
Below is a relaxed structure of AlTeO, with properties calculated at the PBE-GGA level.

As for the total energy: -5.36 eV/atom. The space group is No. 9. Its formation energy (no corrections) is -1.42 eV/atom.

a = 5.9437 Å, b = 9.8040 Å, c = 9.1324 Å
α = 75.50°, β = 71.01°, γ = 72.35°
Sites, in units of the cell vectors:
Al 0.9307 0.6528 0.2609
Al 0.5303 0.3242 0.1567
Al 0.9889 0.8242 0.6567
Al 0.9601 0.3190 0.3057
Al 0.4153 0.8190 0.8057
Al 0.1556 0.1528 0.7609
Te 0.6770 0.9165 0.2693
Te 0.3945 0.6316 0.1032
Te 0.1563 0.8796 0.3414
Te 0.1371 0.4165 0.7693
Te 0.8707 0.1316 0.6032
Te 0.6228 0.3796 0.8414
O 0.8526 0.4946 0.3477
O 0.2729 0.2631 0.2405
O 0.2235 0.7631 0.7405
O 0.7813 0.2686 0.2245
O 0.7255 0.7686 0.7245
O 0.3051 0.9946 0.8477

=====

Record 6
Below is a relaxed structure of Ca2Zn12Cu3Ag, with properties calculated at the PBE-GGA level.

As for the total energy: -1.68 eV/atom. The space group is No. 166. As for the calculated formation energy: 0.232 eV/atom.

a = 8.0898 Å, b = 8.0898 Å, c = 8.0898 Å
α = 62.21°, β = 62.21°, γ = 62.21°
Sites, in units of the cell vectors:
Ca 0.6059 0.6059 0.6059
Ca 0.3941 0.3941 0.3941
Zn 0.3416 0.3416 0.8699
Zn 0.8721 0.8721 0.3858
Zn 0.3858 0.8721 0.8721
Zn 0.8699 0.3416 0.3416
Zn 0.8721 0.3858 0.8721
Zn 0.3416 0.8699 0.3416
Zn 0.6584 0.6584 0.1301
Zn 0.1279 0.1279 0.6142
Zn 0.6142 0.1279 0.1279
Zn 0.1301 0.6584 0.6584
Zn 0.1279 0.6142 0.1279
Zn 0.6584 0.1301 0.6584
Cu 0.5000 0.0000 0.0000
Cu 0.0000 0.5000 0.0000
Cu 0.0000 0.0000 0.5000
Ag 0.0000 0.0000 0.0000

=====

Record 7
Below is a relaxed structure of CaAl9Ir2, with properties calculated at the PBE-GGA level.

As for the total energy: -4.96 eV/atom. The space group is No. 141. As for the calculated formation energy: -0.505 eV/atom.

a = 6.8711 Å, b = 8.4109 Å, c = 8.4109 Å
α = 80.40°, β = 65.89°, γ = 65.89°
Sites, in units of the cell vectors:
Ca 0.5000 0.0000 0.0000
Ca 0.2500 0.5000 0.5000
Al 0.7500 0.5000 0.5000
Al 0.0000 0.0000 0.0000
Al 0.0060 0.9232 0.6798
Al 0.6090 0.0768 0.3202
Al 0.6792 0.1798 0.5768
Al 0.4358 0.8202 0.4232
Al 0.7440 0.8202 0.5768
Al 0.1410 0.1798 0.4232
Al 0.0708 0.9232 0.3202
Al 0.3142 0.0768 0.6798
Al 0.7440 0.5768 0.8202
Al 0.1410 0.4232 0.1798
Al 0.0708 0.3202 0.9232
Al 0.3142 0.6798 0.0768
Al 0.0060 0.6798 0.9232
Al 0.6090 0.3202 0.0768
Al 0.6792 0.5768 0.1798
Al 0.4358 0.4232 0.8202
Ir 0.8750 0.2500 0.7500
Ir 0.8750 0.7500 0.2500
Ir 0.8750 0.2500 0.2500
Ir 0.3750 0.7500 0.7500

=====

Record 8
Below is a relaxed structure of BPd4Pt, with properties calculated at the PBE-GGA level.

As for the total energy: -5.61 eV/atom. The space group is No. 15. As for the calculated formation energy: -0.028 eV/atom.

a = 4.8654 Å, b = 7.4044 Å, c = 6.2443 Å
α = 117.42°, β = 100.84°, γ = 109.87°
Sites, in units of the cell vectors:
B 0.2474 0.9974 0.9949
B 0.7526 0.0026 0.0051
Pd 0.0452 0.1783 0.7791
Pd 0.7881 0.7397 0.6960
Pd 0.2338 0.6008 0.7791
Pd 0.4078 0.9563 0.6960
Pd 0.5922 0.0437 0.3040
Pd 0.7662 0.3992 0.2209
Pd 0.2119 0.2603 0.3040
Pd 0.9548 0.8217 0.2209
Pt 0.3640 0.6140 0.2279
Pt 0.6360 0.3860 0.7721